A geometry-optimized Hf6Tc5Sn structure, computed with PBE.

a b c (Å): 4.643 6.689 7.359
angles (deg): 90.00 108.40 90.00
Element x y z (fractional)
1 Sn 0.000 0.000 0.000
2 Hf 0.500 0.729 0.000
3 Hf 0.173 0.743 0.346
4 Hf 0.827 0.743 0.654
5 Hf 0.173 0.257 0.346
6 Hf 0.500 0.271 0.000
7 Hf 0.827 0.257 0.654
8 Tc 0.663 0.000 0.326
9 Tc 0.666 0.500 0.333
10 Tc 0.337 0.000 0.674
11 Tc 0.334 0.500 0.667
12 Tc 0.000 0.500 0.000

Summary:
DFT total energy	-10.097	eV/atom
D(E_F)	7.95	states/eV/cell